DFT (PBE) results for Zr2Cd2Pt after structural relaxation.

Computed properties:
- Energy above the lowest structure with this stoichiometry: 0.188 eV/atom
- Calculated formation energy: 0.38 eV/f.u.
- N(E_F): 6.60 states/eV/cell
- Crystal system: tetragonal

abc: 8.475 8.475 8.475
angles: 154.43 154.43 36.47
Atoms (fractional coordinates):
Zr: 0.086 0.086 0.000
Zr: 0.914 0.914 0.000
Cd: 0.250 0.750 0.500
Cd: 0.750 0.250 0.500
Pt: 0.500 0.500 0.000